A plane-wave DFT calculation with PBE-GGA was carried out for a relaxed structure of GaCuAsIr.

Lattice parameters (Å, degrees): 4.417 4.417 4.417 60.00 60.00 60.00
Fractional coordinates of all 4 atoms:
Ga (0.000, 0.000, 0.000)
Cu (0.500, 0.500, 0.500)
As (0.250, 0.250, 0.250)
Ir (0.750, 0.750, 0.750)

VASP energy in eV per atom: -4.85